No. 1
A plane-wave DFT calculation with PBE was carried out for a relaxed structure of CdFeTe2.

Calculated values
Its space group is No. 99. As for the total energy: -15.0 eV per cell.

The structure in POSCAR format:
```
CdFeTe2
1.0
3.1063 0.0095 0.0000
-0.0105 3.1063 0.0000
0.0000 0.0000 9.7749
Cd Te Fe
1 2 1
Cartesian
0.0000 0.0000 5.5666 Cd
0.0000 0.0000 8.8039 Te
1.5479 1.5579 2.6582 Te
1.5479 1.5579 7.4086 Fe
```



No. 2
A plane-wave DFT calculation with PBE was carried out for a relaxed structure of CsTmSiS4.

Calculated values
Its space group is No. 19. The excess energy over the best structure of this formula in the dataset comes out at 0.0000 eV/atom.

The structure in POSCAR format:
```
CsTmSiS4
1.0
6.3698 0.0000 0.0000
0.0000 6.7023 0.0000
0.0000 0.0000 17.9556
Cs Si S Tm
4 4 16 4
Cartesian
3.2775 6.6631 9.5550 Cs
0.0926 3.3904 8.4006 Cs
6.2772 0.0393 0.5772 Cs
3.0923 3.3119 17.3784 Cs
1.8514 6.5870 14.8912 Si
1.3335 0.1154 5.9134 Si
5.0364 3.4665 3.0644 Si
4.5184 3.2358 12.0422 Si
0.6543 1.6583 15.0789 S
6.0173 0.0781 7.1905 S
3.5978 5.0056 2.6894 S
0.3525 3.4293 1.7873 S
5.9569 1.6967 11.6672 S
5.7155 5.0095 11.8545 S
0.4129 5.0479 15.2662 S
0.6421 0.5437 3.9463 S
2.5428 6.1587 12.9241 S
3.8270 2.8075 14.0093 S
2.5306 5.0440 6.1011 S
3.8392 1.6929 2.8767 S
3.5374 6.6242 16.1683 S
5.7277 3.8948 5.0315 S
2.7720 1.6544 6.2884 S
2.8324 3.2730 10.7651 S
1.8483 3.1939 4.1030 Tm
5.0332 0.1573 13.8526 Tm
4.5215 6.5451 4.8748 Tm
1.3366 3.5084 13.0808 Tm
```



No. 3
A plane-wave DFT calculation with PBE was carried out for a relaxed structure of Sc2TlPb.

Calculated values
Its space group is No. 13. Its energy relative to the elements is -273 meV per atom. The excess energy over the best structure of this formula in the dataset comes out at 0.0462 eV/atom.

The structure in POSCAR format:
```
Sc2TlPb
1.0
-1.8685 -4.7198 -3.3220
5.7020 -0.9707 -1.8281
-1.4449 -6.1367 9.5318
Tl Sc Pb
4 8 4
Cartesian
1.4150 -4.7091 4.5301 Tl
3.5802 -5.6832 -3.6535 Tl
-1.1917 -6.1441 8.0352 Tl
0.9735 -7.1182 -0.1483 Tl
4.2972 -5.4032 3.8111 Sc
1.9828 -4.6313 1.2977 Sc
0.4058 -7.1960 3.0840 Sc
4.4421 -3.4437 -1.7730 Sc
-1.9086 -6.4241 0.5707 Sc
0.7888 -5.3350 -2.4940 Sc
1.5998 -6.4923 6.8757 Sc
-2.0536 -8.3836 6.1547 Sc
-0.8144 -4.2365 2.4182 Pb
0.8148 -9.0516 5.3823 Pb
1.5738 -2.7757 -1.0006 Pb
3.2030 -7.5907 1.9635 Pb
```



No. 4
A plane-wave DFT calculation with PBE was carried out for a relaxed structure of SrZnHg2.

Calculated values
Its space group is No. 71. Its energy relative to the elements is -289 meV per atom.

The structure in POSCAR format:
```
SrZnHg2
1.0
-4.9159 2.0720 -1.6992
-3.3306 -1.3050 4.3071
4.7097 2.9949 -0.4432
Hg Zn Sr
2 1 1
Cartesian
-0.2734 0.0254 0.0865 Hg
-3.8499 0.3581 1.2175 Hg
-1.3721 1.0367 2.5839 Zn
-2.1648 2.7252 -0.4192 Sr
```



No. 5
A plane-wave DFT calculation with PBE was carried out for a relaxed structure of Ac8CdSn2.

Calculated values
Its space group is No. 12. Its energy relative to the elements is -266 meV per atom.

The structure in POSCAR format:
```
Ac8CdSn2
1.0
-4.6914 -2.3444 -1.9932
0.2845 -5.2492 5.5044
-3.3429 8.9398 5.2498
Ac Sn Cd
8 2 1
Cartesian
-3.2600 -2.2256 2.3943 Ac
-2.2960 1.5522 3.5783 Ac
-4.4899 3.5718 6.3667 Ac
-7.7379 5.0741 4.3483 Ac
-0.0119 -3.7278 4.4127 Ac
-5.4539 -0.2060 5.1826 Ac
-3.8728 5.2359 2.9571 Ac
-3.8770 -3.8896 5.8039 Ac
-1.8654 -1.1167 5.7040 Sn
-5.8844 2.4629 3.0570 Sn
-2.3457 -1.1722 -0.9966 Cd
```



No. 6
A plane-wave DFT calculation with PBE was carried out for a relaxed structure of Ce2NpPdS4.

Calculated values
Its space group is No. 121. As for the total energy: -57.6 eV per cell.

The structure in POSCAR format:
```
Ce2NpPdS4
1.0
6.9133 0.0000 0.0000
3.4567 4.8166 0.0000
3.4567 0.0000 4.8166
Pd S Np Ce
1 4 1 2
Cartesian
3.4567 0.0000 0.0000 Pd
5.4398 2.8134 0.0000 S
8.3868 0.0000 2.8134 S
1.9832 2.0032 0.0000 S
4.9302 0.0000 2.0032 S
0.0000 0.0000 0.0000 Np
6.9133 2.4083 2.4083 Ce
3.4567 2.4083 2.4083 Ce
```



No. 7
A plane-wave DFT calculation with PBE was carried out for a relaxed structure of ReIrSe2Br.

Calculated values
Its space group is No. 123. The excess energy over the best structure of this formula in the dataset comes out at 0.0000 eV/atom.

The structure in POSCAR format:
```
ReIrSe2Br
1.0
4.7529 0.0000 0.0000
0.0000 4.7529 0.0000
0.0000 0.0000 5.2571
Br Se Ir Re
1 2 1 1
Cartesian
0.0000 0.0000 2.6285 Br
2.3764 0.0000 0.0000 Se
0.0000 2.3764 0.0000 Se
2.3764 2.3764 2.6285 Ir
0.0000 0.0000 0.0000 Re
```



No. 8
A plane-wave DFT calculation with PBE was carried out for a relaxed structure of Pr6NdIn2.

Calculated values
Its space group is No. 136. Its energy relative to the elements is 321 meV per atom. The excess energy over the best structure of this formula in the dataset comes out at 0.5166 eV/atom.

The structure in POSCAR format:
```
Pr6NdIn2
1.0
8.1288 0.0000 0.0000
0.0000 8.1288 0.0000
0.0000 0.0000 10.8128
Pr Nd In
12 2 4
Cartesian
6.2659 1.8630 1.9513 Pr
2.2015 2.2015 7.3577 Pr
6.1666 1.9622 5.4064 Pr
2.2015 2.2015 3.4551 Pr
6.0266 6.0266 0.0000 Pr
2.1022 2.1022 0.0000 Pr
5.9274 5.9274 3.4551 Pr
1.8630 6.2659 1.9513 Pr
5.9274 5.9274 7.3577 Pr
1.9622 6.1666 5.4064 Pr
6.2659 1.8630 8.8615 Pr
1.8630 6.2659 8.8615 Pr
0.0000 0.0000 0.0000 Nd
4.0644 4.0644 5.4064 Nd
0.0000 0.0000 6.9668 In
4.0644 4.0644 1.5604 In
0.0000 0.0000 3.8461 In
4.0644 4.0644 9.2525 In
```